Record 1
Here is a geometry-optimized Sm3NiSn3Pt2 structure from OQMD. Energies are from PBE.

Summary:
* M_tot: 0.000 μB/atom
* DFT total energy: -52.46 eV for the cell shown

a = 7.5662 Å, b = 7.5662 Å, c = 3.9989 Å
α = 90.00°, β = 90.00°, γ = 120.00°
Space group P-62m (No. 189)
Inequivalent atoms, fractional coordinates:
Sm: 0.0000 0.5935 0.0000 x3
Ni: 0.0000 0.0000 0.0000 x1
Sn: 0.0000 0.2459 0.5000 x3
Pt: 0.3333 0.6667 0.5000 x2

---

Record 2
Here is a geometry-optimized NiSnPt2 structure from OQMD. Energies are from PBE.

Summary:
* M_tot: 0.001 μB/atom
* DFT total energy: -90.12 eV for the cell shown

a = 6.320 Å, b = 6.320 Å, c = 6.320 Å
α = 90.00°, β = 90.00°, γ = 90.00°
Space group F-43m (No. 216)
Inequivalent atoms, fractional coordinates:
Ni: 0.000 0.000 0.000 x4
Sn: 0.250 0.250 0.750 x4
Pt: 0.000 0.000 0.500 x4
Pt: 0.250 0.250 0.250 x4

---

Record 3
Here is a geometry-optimized Ni2SnPt structure from OQMD. Energies are from PBE.

Summary:
* M_tot: 0.001 μB/atom
* DFT total energy: -87.93 eV for the cell shown

a = 6.149 Å, b = 6.149 Å, c = 6.149 Å
α = 90.00°, β = 90.00°, γ = 90.00°
Space group F-43m (No. 216)
Inequivalent atoms, fractional coordinates:
Ni: 0.000 0.000 0.000 x4
Ni: 0.250 0.250 0.250 x4
Sn: 0.000 0.000 0.500 x4
Pt: 0.250 0.250 0.750 x4

---

Record 4
Here is a geometry-optimized Ni2SnPt structure from OQMD. Energies are from PBE.

Summary:
* M_tot: 0.001 μB/atom
* DFT total energy: -22.42 eV for the cell shown

a = 3.902 Å, b = 3.902 Å, c = 3.750 Å
α = 90.00°, β = 90.00°, γ = 90.00°
Space group P4/mmm (No. 123)
Inequivalent atoms, fractional coordinates:
Ni: 0.000 0.500 0.000 x2
Sn: 0.000 0.000 0.500 x1
Pt: 0.500 0.500 0.500 x1

---

Record 5
Here is a geometry-optimized TbTm2NiSn3Pt2 structure from OQMD. Energies are from PBE.

Summary:
* M_tot: 0.000 μB/atom
* DFT total energy: -104.24 eV for the cell shown

a = 3.886 Å, b = 12.995 Å, c = 7.469 Å
α = 90.00°, β = 90.00°, γ = 90.00°
Space group Amm2 (No. 38)
Inequivalent atoms, fractional coordinates:
Tb: 0.000 0.000 0.000 x2
Tm: 0.000 0.202 0.608 x4
Ni: 0.000 0.000 0.408 x2
Sn: 0.500 0.000 0.655 x2
Sn: 0.500 0.125 0.282 x4
Pt: 0.500 0.169 0.905 x4

---

Record 6
Here is a geometry-optimized Tb2TmNiSn3Pt2 structure from OQMD. Energies are from PBE.

Summary:
* M_tot: 0.000 μB/atom
* DFT total energy: -104.56 eV for the cell shown

a = 3.918 Å, b = 12.967 Å, c = 7.518 Å
α = 90.00°, β = 90.00°, γ = 90.00°
Space group Amm2 (No. 38)
Inequivalent atoms, fractional coordinates:
Tb: 0.000 0.203 0.000 x4
Tm: 0.000 0.000 0.608 x2
Ni: 0.000 0.000 0.205 x2
Sn: 0.500 0.000 0.955 x2
Sn: 0.500 0.124 0.328 x4
Pt: 0.500 0.164 0.702 x4

---

Record 7
Here is a geometry-optimized Tb2YNiSn3Pt2 structure from OQMD. Energies are from PBE.

Summary:
* M_tot: 0.000 μB/atom
* DFT total energy: -108.56 eV for the cell shown

a = 3.938 Å, b = 13.032 Å, c = 7.519 Å
α = 90.00°, β = 90.00°, γ = 90.00°
Space group Amm2 (No. 38)
Inequivalent atoms, fractional coordinates:
Tb: 0.000 0.202 0.000 x4
Y: 0.000 0.000 0.607 x2
Ni: 0.000 0.000 0.202 x2
Sn: 0.500 0.000 0.954 x2
Sn: 0.500 0.124 0.327 x4
Pt: 0.500 0.167 0.703 x4

---

Record 8
Here is a geometry-optimized TcNiSnPt structure from OQMD. Energies are from PBE.

Summary:
* M_tot: 0.446 μB/atom
* DFT total energy: -103.28 eV for the cell shown
* energy above the most stable polymorph in this dataset: 0 meV per atom

a = 6.297 Å, b = 6.297 Å, c = 6.297 Å
α = 90.00°, β = 90.00°, γ = 90.00°
Space group F-43m (No. 216)
Inequivalent atoms, fractional coordinates:
Tc: 0.000 0.000 0.000 x4
Ni: 0.000 0.000 0.500 x4
Sn: 0.250 0.250 0.250 x4
Pt: 0.250 0.250 0.750 x4

---

Record 9
Here is a geometry-optimized Tm3NiSn3Pt2 structure from OQMD. Energies are from PBE.

Summary:
* M_tot: 0.000 μB/atom
* DFT total energy: -51.97 eV for the cell shown

a = 7.4763 Å, b = 7.4763 Å, c = 3.8521 Å
α = 90.00°, β = 90.00°, γ = 120.00°
Space group P-62m (No. 189)
Inequivalent atoms, fractional coordinates:
Tm: 0.0000 0.4043 0.0000 x3
Ni: 0.0000 0.0000 0.0000 x1
Sn: 0.0000 0.7493 0.5000 x3
Pt: 0.3333 0.6667 0.5000 x2

---

Record 10
Here is a geometry-optimized TmNiSnPt structure from OQMD. Energies are from PBE.

Summary:
* M_tot: 0.001 μB/atom
* DFT total energy: -46.53 eV for the cell shown
* energy above the most stable polymorph in this dataset: 10 meV per atom

a = 4.4538 Å, b = 4.4538 Å, c = 8.7789 Å
α = 90.00°, β = 90.00°, γ = 120.00°
Space group P-3m1 (No. 164)
Inequivalent atoms, fractional coordinates:
Tm: 0.3333 0.6667 0.2425 x2
Ni: 0.3333 0.6667 0.9223 x2
Sn: 0.0000 0.0000 0.0000 x1
Sn: 0.0000 0.0000 0.5000 x1
Pt: 0.3333 0.6667 0.6048 x2

---

Record 11
Here is a geometry-optimized TmNiSnPt structure from OQMD. Energies are from PBE.

Summary:
* M_tot: 0.000 μB/atom
* DFT total energy: -46.52 eV for the cell shown
* energy above the most stable polymorph in this dataset: 12 meV per atom

a = 4.4521 Å, b = 4.4521 Å, c = 8.8014 Å
α = 90.00°, β = 90.00°, γ = 120.00°
Space group P-6m2 (No. 187)
Inequivalent atoms, fractional coordinates:
Tm: 0.0000 0.0000 0.0000 x1
Tm: 0.3333 0.6667 0.5000 x1
Ni: 0.3333 0.6667 0.1578 x2
Sn: 0.6667 0.3333 0.2307 x2
Pt: 0.0000 0.0000 0.3347 x2

---

Record 12
Here is a geometry-optimized TmNiSnPt structure from OQMD. Energies are from PBE.

Summary:
* M_tot: 0.000 μB/atom
* DFT total energy: -46.61 eV for the cell shown
* energy above the most stable polymorph in this dataset: 0 meV per atom

a = 4.4637 Å, b = 4.4637 Å, c = 8.7171 Å
α = 90.00°, β = 90.00°, γ = 120.00°
Space group P6_3mc (No. 186)
Inequivalent atoms, fractional coordinates:
Tm: 0.3333 0.6667 0.0000 x2
Ni: 0.3333 0.6667 0.6657 x2
Sn: 0.0000 0.0000 0.2402 x2
Pt: 0.3333 0.6667 0.3445 x2

---

- DFT total energy of number 5 (TbTm2NiSn3Pt2)?
  -104.24 eV for the cell shown

---

- Which of these has the lowest DFT total energy?
  Tb2YNiSn3Pt2